Entry from the Alexandria database: a relaxed PrSm2Al crystal (PBE-GGA).

Cell: 5.489 5.489 5.489 Å, 60.00 60.00 60.00°
Site moments in Bohr magnetons follow the coordinates.
Positions (direct):
Pr1 0.000 0.000 0.000  0.23
Al1 0.500 0.500 0.500  0.00
Sm1 0.250 0.250 0.250  0.16
Sm2 0.750 0.750 0.750  0.16

symmetry = No. 225
DOS(E_F) = 7.046 states/eV per cell
formation energy = -2 meV per atom
E above lowest polymorph = 17.1 kJ per mole of atoms